# 1
## MnOs2W (PBE-GGA)

Data for MnOs2W after structural relaxation.

It has space group P4/mmm (No. 123), with a = 3.111 Å, b = 3.111 Å, c = 6.028 Å, α = 90.00°, β = 90.00° and γ = 90.00°. The distinct sites, in fractional coordinates, are Mn at (0.000, 0.000, 0.000), Os at (0.500, 0.500, 0.239) and W at (0.000, 0.000, 0.500).

The calculation puts the relative energy among the computed polymorphs at 113.3 meV per atom. The energy relative to the elements is 145 meV per atom. As for the total magnetization: 0.956 μB per atom.

---

# 2
## MnZnOsW (PBE-GGA)

Data for MnZnOsW after structural relaxation.

It has space group F-43m (No. 216), with a = 6.062 Å, b = 6.062 Å, c = 6.062 Å, α = 90.00°, β = 90.00° and γ = 90.00°. The distinct sites, in fractional coordinates, are Mn at (0.000, 0.000, 0.000), Zn at (0.250, 0.250, 0.250), Os at (0.000, 0.000, 0.500) and W at (0.250, 0.250, 0.750).

The energy relative to the elements is 94 meV per atom. As for the total magnetization: 0.225 μB per atom.

---

# 3
## MnZnOsW2 (PBE-GGA)

Data for MnZnOsW2 after structural relaxation.

It has space group P4/mmm (No. 123), with a = 4.452 Å, b = 4.452 Å, c = 4.453 Å, α = 90.00°, β = 90.00° and γ = 90.00°. The distinct sites, in fractional coordinates, are Mn at (0.000, 0.000, 0.000), Zn at (0.500, 0.500, 0.500), Os at (0.000, 0.000, 0.500) and W at (0.000, 0.500, 0.000).

The energy relative to the elements is 1439 meV per atom. As for the total magnetization: 0.000 μB per atom.

---

# 4
## Y2Mn2Os (PBE-GGA)

Data for Y2Mn2Os after structural relaxation.

It has space group P4/mbm (No. 127), with a = 6.297 Å, b = 6.297 Å, c = 4.625 Å, α = 90.00°, β = 90.00° and γ = 90.00°. The distinct sites, in fractional coordinates, are Y at (0.183, 0.317, 0.000), Mn at (0.120, 0.620, 0.500) and Os at (0.000, 0.000, 0.500).

The calculation puts the relative energy among the computed polymorphs at 0.0 meV per atom. The energy relative to the elements is 95 meV per atom. As for the total magnetization: 0.083 μB per atom.

---

# 5
## YMn3Os (PBE-GGA)

Data for YMn3Os after structural relaxation.

It has space group Pm-3m (No. 221), with a = 4.356 Å, b = 4.356 Å, c = 4.356 Å, α = 90.00°, β = 90.00° and γ = 90.00°. The distinct sites, in fractional coordinates, are Y at (0.000, 0.000, 0.000), Mn at (0.000, 0.000, 0.500) and Os at (0.500, 0.500, 0.500).

The calculation puts the relative energy among the computed polymorphs at 1950.1 meV per atom. The energy relative to the elements is 2673 meV per atom. As for the total magnetization: 0.000 μB per atom.

---

# 6
## Y2MnOs (PBE-GGA)

Data for Y2MnOs after structural relaxation.

It has space group F-43m (No. 216), with a = 6.862 Å, b = 6.862 Å, c = 6.862 Å, α = 90.00°, β = 90.00° and γ = 90.00°. The distinct sites, in fractional coordinates, are Y at (0.000, 0.000, 0.000), Y at (0.250, 0.250, 0.250), Mn at (0.000, 0.000, 0.500) and Os at (0.250, 0.250, 0.750).

The calculation puts the relative energy among the computed polymorphs at 326.7 meV per atom. The energy relative to the elements is 285 meV per atom. As for the total magnetization: 1.049 μB per atom.

---

- Which value of energy relative to the elements does entry 3 give?
  1439 meV per atom